The following is a DFT calculation (PBE-GGA) of an optimized crystal structure of Sm2ZnCuSe5.

Results
Uncorrected formation energy in eV per atom: -1.136
SG: Cmc2_1 (36)

Cell: 4.0474 8.6147 12.5720 Å, 90.00 90.00 103.59°
Closest atoms and distances in Å follow each position.
Fractional positions:
Sm 0.8612 0.7223 0.8216  7 Se 2.98-3.06, 1 Cu 3.30
Sm 0.1079 0.2158 0.6788  8 Se 2.98-3.14
Sm 0.1388 0.2777 0.3216  7 Se 2.98-3.06, 1 Cu 3.30
Sm 0.8921 0.7842 0.1788  8 Se 2.98-3.14
Zn 0.5653 0.1307 0.9391  4 Se 2.44-2.48
Zn 0.4347 0.8693 0.4391  4 Se 2.44-2.48
Cu 0.8040 0.6080 0.5707  4 Se 2.41-2.54
Cu 0.1960 0.3920 0.0707  4 Se 2.41-2.54
Se 0.3386 0.6772 0.0022  1 Cu 2.54
Se 0.6829 0.3658 0.8222  1 Zn 2.46
Se 0.4862 0.9724 0.7727  1 Zn 2.48
Se 0.2856 0.5711 0.6713  2 Cu 2.41
Se 0.9500 0.8999 0.5453  2 Zn 2.44, 1 Cu 2.46
Se 0.6614 0.3228 0.5022  1 Cu 2.54
Se 0.3171 0.6342 0.3222  1 Zn 2.46
Se 0.5138 0.0276 0.2727  1 Zn 2.48
Se 0.7144 0.4289 0.1713  2 Cu 2.41
Se 0.0500 0.1001 0.0453  2 Zn 2.44, 1 Cu 2.46

=====

The following is a DFT calculation (PBE-GGA) of an optimized crystal structure of CuSn3Se4.

Results
Uncorrected formation energy in eV per atom: -0.247
SG: R3m (160)
Energy above the lowest structure with this stoichiometry in kJ/mol of formula units: 49.4

Cell: 3.9778 3.9778 18.7654 Å, 83.92 83.92 60.00°
Closest atoms and distances in Å follow each position.
Fractional positions:
Se 0.0456 0.0456 0.8631  1 Cu 2.50, 3 Sn 2.78
Se 0.8073 0.8073 0.5781  3 Sn 2.77
Se 0.5680 0.5680 0.2961  3 Sn 2.78
Se 0.3237 0.3237 0.0290  3 Cu 2.37
Sn 0.7402 0.7402 0.7793  3 Se 2.78
Sn 0.5018 0.5018 0.4946  3 Se 2.77
Sn 0.2627 0.2627 0.2120  3 Se 2.78
Cu 0.0008 0.0008 0.9976  4 Se 2.37-2.50